(1)
The following is a DFT calculation (PBE) of a relaxed structure of AcPmHo4S8.

Structure (POSCAR):
```
AcPmHo4S8
1.0
4.0736 2.3519 6.7309
-4.0736 2.3519 6.7309
0.0000 -4.7038 6.7309
Ac Pm Ho S
1 1 4 8
Direct
0.0000 0.0000 0.0000
0.3765 0.3765 0.3765
0.3760 0.3760 0.8676
0.3760 0.8676 0.3760
0.7483 0.7483 0.7483
0.8676 0.3760 0.3760
0.1344 0.1344 0.5797
0.1344 0.5797 0.1344
0.1392 0.6245 0.6245
0.1401 0.1401 0.1401
0.5797 0.1344 0.1344
0.6170 0.6170 0.6170
0.6245 0.1392 0.6245
0.6245 0.6245 0.1392
```

For the total energy, the calculation gives -0.229 Ha/atom. The space group is R3m. As for the density of states at the Fermi level: 8.41 states/eV/cell. The calculation puts the uncorrected formation energy at -1.923 eV/atom.

(2)
The following is a DFT calculation (PBE) of a relaxed structure of LaNdPb2.

Structure (POSCAR):
```
LaNdPb2
1.0
5.1660 0.0000 0.0000
0.0000 5.1660 0.0000
0.0000 0.0000 4.6344
La Nd Pb
1 1 2
Direct
0.0000 0.0000 0.0000
0.5000 0.5000 0.0000
0.0000 0.5000 0.5000
0.5000 0.0000 0.5000
```

For the total energy, the calculation gives -0.177 Ha/atom. The space group is P4/mmm. Its formation energy is -2.18 eV per formula unit. As for the density of states at the Fermi level: 4.05 states/eV/cell.

(3)
The following is a DFT calculation (PBE) of a relaxed structure of Ba2PtRhPb6.

Structure (POSCAR):
```
Ba2PtRhPb6
1.0
5.5159 -5.4454 0.0000
5.5159 5.4454 0.0000
-5.0859 0.0000 5.5073
Ba Pt Rh Pb
2 1 1 6
Direct
0.2105 0.7895 0.0000
0.7895 0.2105 0.0000
0.0000 0.0000 0.5000
0.5000 0.5000 0.5000
0.2516 0.7484 0.5000
0.2838 0.2838 0.5667
0.2859 0.2859 0.0006
0.7141 0.7141 0.9994
0.7162 0.7162 0.4333
0.7484 0.2516 0.5000
```

For the total energy, the calculation gives -0.151 Ha/atom. The space group is C2/m. Its formation energy is -1.55 eV per formula unit. As for the density of states at the Fermi level: 6.76 states/eV/cell.

(4)
The following is a DFT calculation (PBE) of a relaxed structure of Ba6H2Pd.

Structure (POSCAR):
```
Ba6H2Pd
1.0
7.2258 0.0000 0.0000
0.0000 7.7004 0.0000
0.0000 0.0000 13.1820
Ba H Pd
12 4 2
Direct
0.2302 0.1519 0.0000
0.2429 0.6760 0.1701
0.2429 0.6760 0.8299
0.2571 0.1760 0.3299
0.2571 0.1760 0.6701
0.2698 0.6519 0.5000
0.7302 0.3481 0.5000
0.7429 0.8240 0.3299
0.7429 0.8240 0.6701
0.7571 0.3240 0.1701
0.7571 0.3240 0.8299
0.7698 0.8481 0.0000
0.0000 0.0000 0.1650
0.0000 0.0000 0.8350
0.5000 0.5000 0.3350
0.5000 0.5000 0.6650
0.0000 0.5000 0.0000
0.5000 0.0000 0.5000
```

For the total energy, the calculation gives -0.105 Ha/atom. The space group is Pnnm. As for the density of states at the Fermi level: 15.90 states/eV/cell.

(5)
The following is a DFT calculation (PBE) of a relaxed structure of SrPm2TiO6.

Structure (POSCAR):
```
SrPm2TiO6
1.0
5.4721 0.0000 0.0000
0.0000 5.4721 0.0000
0.0000 0.0000 5.5184
Sr Pm Ti O
1 2 1 6
Direct
0.0000 0.0000 0.0000
0.0000 0.5000 0.4368
0.5000 0.0000 0.4368
0.5000 0.5000 0.0711
0.0000 0.0000 0.5754
0.2703 0.2703 0.2071
0.2703 0.7297 0.2071
0.5000 0.5000 0.7387
0.7297 0.2703 0.2071
0.7297 0.7297 0.2071
```

For the total energy, the calculation gives -0.291 Ha/atom. The space group is P4mm. As for the density of states at the Fermi level: 0.00 states/eV/cell. The calculation puts the uncorrected formation energy at -3.029 eV/atom.

(6)
The following is a DFT calculation (PBE) of a relaxed structure of ZnSi2Mo.

Structure (POSCAR):
```
ZnSi2Mo
1.0
1.7348 -2.1792 0.0000
1.7348 2.1792 0.0000
0.0000 0.0000 7.9856
Zn Si Mo
1 2 1
Direct
0.0000 0.0000 0.0000
0.5000 0.5000 0.2631
0.5000 0.5000 0.7369
0.0000 0.0000 0.5000
```

For the total energy, the calculation gives -0.205 Ha/atom. The space group is Cmmm. As for the density of states at the Fermi level: 1.28 states/eV/cell. The calculation puts the uncorrected formation energy at 0.165 eV/atom.

(7)
The following is a DFT calculation (PBE) of a relaxed structure of K4HfU3S8.

Structure (POSCAR):
```
K4HfU3S8
1.0
3.9507 2.2810 7.4671
-3.9507 2.2810 7.4671
0.0000 -4.5619 7.4671
K Hf U S
4 1 3 8
Direct
0.0000 0.0000 0.0000
0.0000 0.5000 0.5000
0.5000 0.0000 0.5000
0.5000 0.5000 0.0000
0.5000 0.5000 0.5000
0.0000 0.0000 0.5000
0.0000 0.5000 0.0000
0.5000 0.0000 0.0000
0.2364 0.2364 0.2364
0.2508 0.7251 0.7251
0.2749 0.2749 0.7492
0.2749 0.7492 0.2749
0.7251 0.2508 0.7251
0.7251 0.7251 0.2508
0.7492 0.2749 0.2749
0.7636 0.7636 0.7636
```

For the total energy, the calculation gives -0.238 Ha/atom. The space group is R-3m. As for the density of states at the Fermi level: 13.83 states/eV/cell. The calculation puts the uncorrected formation energy at -1.394 eV/atom.

(8)
The following is a DFT calculation (PBE) of a relaxed structure of GaGe.

Structure (POSCAR):
```
GaGe
1.0
3.9024 0.0000 0.0000
0.0000 3.9959 0.0000
-1.8883 0.0000 5.6918
Ga Ge
2 2
Direct
0.0763 0.2500 0.1532
0.9237 0.7500 0.8468
0.2626 0.7500 0.5192
0.7374 0.2500 0.4808
```

For the total energy, the calculation gives -0.134 Ha/atom. The space group is P2_1/m. Its formation energy is 0.36 eV per formula unit. As for the density of states at the Fermi level: 1.53 states/eV/cell.